# 1
Crystalline Cd2PbI at its relaxed geometry, computed with PBE.

```
8
Lattice="-3.585 3.585 6.555 3.585 -3.585 6.555 3.585 3.585 -6.555" Properties=species:S:1:pos:R:3 pbc="T T T"
Cd 5.378 1.611 -1.639
Cd 1.611 1.793 1.639
Cd -1.793 1.974 4.917
Cd 1.974 1.793 8.194
Pb 0.000 0.000 0.000
Pb 0.000 3.585 3.278
I 3.585 0.000 3.278
I 0.000 0.000 6.555
```

Computed properties:
**Magnetization**: 0.0 μB/cell
**E_tot**: -13.9 eV for the cell shown
**V**: 42.13 A^3/atom
**Space group**: I-42d
**Formation energy without anion corrections**: 29 meV per atom
**D(E_F)**: 3.0 states/eV/f.u.



# 2
Crystalline Cd2PbI at its relaxed geometry, computed with PBE.

```
4
Lattice="0.000 3.956 3.956 3.956 0.000 3.956 3.956 3.956 0.000" Properties=species:S:1:pos:R:3 pbc="T T T"
Cd 1.978 1.978 1.978
Cd 5.934 5.934 5.934
Pb 0.000 0.000 0.000
I 3.956 3.956 3.956
```

Computed properties:
**Magnetization**: 0.0 μB/cell
**E_tot**: -6.3 eV for the cell shown
**V**: 30.96 A^3/atom
**Space group**: Fm-3m
**Formation energy without anion corrections**: 191 meV per atom
**D(E_F)**: 5.6 states/eV/f.u.



# 3
Crystalline CdPbI3 at its relaxed geometry, computed with PBE.

```
5
Lattice="6.245 0.000 0.000 0.000 6.245 0.000 0.000 0.000 6.245" Properties=species:S:1:pos:R:3 pbc="T T T"
Cd 0.000 0.000 0.000
Pb 3.123 3.123 3.123
I 0.000 3.123 3.123
I 3.123 0.000 3.123
I 3.123 3.123 0.000
```

Computed properties:
**Magnetization**: 0.8 μB/cell
**E_tot**: -10.1 eV for the cell shown
**V**: 48.71 A^3/atom
**Space group**: Pm-3m
**Formation energy without anion corrections**: -156 meV per atom
**D(E_F)**: 2.3 states/eV/f.u.



# 4
Crystalline CdPb2I at its relaxed geometry, computed with PBE.

```
4
Lattice="0.000 3.984 3.984 3.984 0.000 3.984 3.984 3.984 0.000" Properties=species:S:1:pos:R:3 pbc="T T T"
Cd 0.000 0.000 0.000
Pb 1.992 1.992 1.992
Pb 5.975 5.975 5.975
I 3.984 3.984 3.984
```

Computed properties:
**Magnetization**: 0.0 μB/cell
**E_tot**: -9.4 eV for the cell shown
**V**: 31.61 A^3/atom
**Space group**: Fm-3m
**Formation energy without anion corrections**: 113 meV per atom
**D(E_F)**: 3.0 states/eV/f.u.



# 5
Crystalline Cd2Pb2I7 at its relaxed geometry, computed with PBE.

```
11
Lattice="4.665 -7.109 0.000 4.665 7.109 0.000 -1.023 0.000 8.208" Properties=species:S:1:pos:R:3 pbc="T T T"
Cd 1.977 0.000 1.013
Cd 6.331 0.000 7.195
Pb 4.154 4.526 4.104
Pb 4.154 -4.526 4.104
I 2.180 2.745 2.229
I -0.008 0.000 6.209
I 2.180 -2.745 2.229
I 4.665 0.000 0.000
I 6.127 2.745 5.979
I 8.315 0.000 1.998
I 6.127 -2.745 5.979
```

Computed properties:
**Magnetization**: 0.0 μB/cell
**E_tot**: -25.2 eV for the cell shown
**V**: 49.50 A^3/atom
**Space group**: C2/m
**Formation energy without anion corrections**: -461 meV per atom
**D(E_F)**: 3.3 states/eV/f.u.



# 6
Crystalline CdPbI at its relaxed geometry, computed with PBE.

```
6
Lattice="4.061 0.000 0.000 -2.030 3.517 0.000 0.000 0.000 14.435" Properties=species:S:1:pos:R:3 pbc="T T T"
Cd 0.000 0.000 0.000
Cd 0.000 2.344 7.218
Pb 0.000 2.344 2.019
Pb 0.000 2.344 12.416
I 0.000 0.000 5.245
I 0.000 0.000 9.190
```

Computed properties:
**Magnetization**: 0.0 μB/cell
**E_tot**: -12.8 eV for the cell shown
**V**: 34.34 A^3/atom
**Space group**: P-6m2
**Formation energy without anion corrections**: -82 meV per atom
**D(E_F)**: 0.9 states/eV/f.u.